NdEuCdGa | PBE-GGA | relaxed

Computed properties:
The value obtained for the mass density is 7.18 g/cm³. The total energy comes out at -5.1516 eV per atom. The formation energy is -0.4055 eV/atom. Its crystal system is cubic.

a b c (Å): 7.6190 7.6190 7.6190
angles (deg): 90.00 90.00 90.00
Closest atoms and distances in Å follow each position.
Space group F-43m (No. 216)
One atom of each set of equivalent atoms:
Nd 0.0000 0.0000 0.0000 [4 per cell]  4 Cd 3.30, 4 Ga 3.30
Eu 0.0000 0.0000 0.5000 [4 per cell]  4 Cd 3.30, 4 Ga 3.30
Cd 0.2500 0.2500 0.2500 [4 per cell]  4 Nd 3.30, 4 Eu 3.30
Ga 0.2500 0.2500 0.7500 [4 per cell]  4 Nd 3.30, 4 Eu 3.30


LaFe2GeC | PBE-GGA | relaxed

Computed properties:
The value obtained for the mass density is 7.41 g/cm³. The total energy comes out at -7.4401 eV per atom. The formation energy is -0.3013 eV/atom. Its crystal system is orthorhombic.

a b c (Å): 4.0700 10.7743 6.8561
angles (deg): 90.00 90.00 90.00
Closest atoms and distances in Å follow each position.
Space group Cmcm (No. 63)
One atom of each set of equivalent atoms:
La 0.0000 0.0563 0.2500 [4 per cell]  4 C 2.73, 1 Ge 3.05
Fe 0.0000 0.3397 0.0679 [8 per cell]  1 C 1.79
Ge 0.0000 0.2270 0.7500 [4 per cell]  6 Fe 2.49
C 0.0000 0.5000 0.0000 [4 per cell]  2 Fe 1.79


CeInPtO6 | PBE-GGA | relaxed

Computed properties:
The value obtained for the mass density is 7.55 g/cm³. The total energy comes out at -6.5200 eV per atom. The value obtained for the energy relative to the elements, uncorrected is -1.5797 eV/atom. Its crystal system is trigonal.

a b c (Å): 5.5102 5.5102 9.1289
angles (deg): 90.00 90.00 120.00
Closest atoms and distances in Å follow each position.
Space group P-31c (No. 163)
One atom of each set of equivalent atoms:
Ce 0.3333 0.6667 0.2500 [2 per cell]  6 O 2.25
In 0.0000 0.0000 0.0000 [2 per cell]  6 O 2.22
Pt 0.3333 0.6667 0.7500 [2 per cell]  6 O 2.02
O 0.0322 0.3582 0.6272 [12 per cell]  1 Pt 2.02, 1 In 2.22, 1 Ce 2.25


- Look up the mass density of the first one.
  7.18 g/cm³


- The lowest mass density belongs to which entry?
  NdEuCdGa


- The highest mass density belongs to which entry?
  CeInPtO6


- Which value of mass density does entry 1 give?
  7.18 g/cm³